An optimized crystal structure of Tl3HgOs2O9, computed with PBE.

Lattice parameters (Å, degrees): 5.7678 5.7678 7.5312 90.00 90.00 120.00
Space group P-3m1 (No. 164)
One atom of each set of equivalent atoms:
Tl 0.0000 0.0000 0.0000 [1 per cell]
Tl 0.3333 0.6667 0.6587 [2 per cell]
Hg 0.0000 0.0000 0.5000 [1 per cell]
Os 0.3333 0.6667 0.1499 [2 per cell]
O 0.0000 0.5000 0.0000 [3 per cell]
O 0.1771 0.3542 0.2853 [6 per cell]

Calculated values
Total energy   -5.677 eV per atom
Size of the total moment   0.00 μB per cell
Crystal system   trigonal

***

An optimized crystal structure of ScAlRh2, computed with PBE.

Lattice parameters (Å, degrees): 9.568 3.107 4.330 90.00 105.16 90.00
Space group Cm (No. 8)
One atom of each set of equivalent atoms:
Sc 0.000 0.000 0.000 [2 per cell]
Al 0.233 0.000 0.631 [2 per cell]
Rh 0.003 0.500 0.514 [2 per cell]
Rh 0.244 0.500 0.142 [2 per cell]

Calculated values
Total energy   -7.084 eV per atom
Size of the total moment   0.00 μB per cell
Crystal system   monoclinic
Formation energy   -890 meV per atom

***

An optimized crystal structure of NaZrAsSe, computed with PBE.

Lattice parameters (Å, degrees): 3.9111 3.9111 21.6743 90.00 90.00 120.00
Space group R3m (No. 160, hexagonal axes)
One atom of each set of equivalent atoms:
Na 0.0000 0.0000 0.0000 [3 per cell]
Zr 0.0000 0.0000 0.1742 [3 per cell]
As 0.0000 0.0000 0.5744 [3 per cell]
Se 0.0000 0.0000 0.7629 [3 per cell]

Calculated values
Total energy   -5.544 eV per atom
Size of the total moment   0.00 μB per cell
Crystal system   trigonal

***

An optimized crystal structure of Ca2RhAu, computed with PBE.

Lattice parameters (Å, degrees): 4.5300 4.5300 19.3714 90.00 90.00 120.00
Space group R3m (No. 160, hexagonal axes)
One atom of each set of equivalent atoms:
Ca 0.0000 0.0000 0.0000 [3 per cell]
Ca 0.0000 0.0000 0.1761 [3 per cell]
Rh 0.0000 0.0000 0.7567 [3 per cell]
Au 0.0000 0.0000 0.4200 [3 per cell]

Calculated values
Total energy   -4.021 eV per atom
Size of the total moment   0.00 μB per cell
Crystal system   trigonal
Formation energy   -363 meV per atom